No. 1
A plane-wave DFT calculation with PBE-GGA was carried out for CdSn2F after structural relaxation.

E_form (uncorrected): -52 kJ/mol of atoms

abc: 8.8559 8.8559 8.8559
angles: 146.21 146.21 48.53
Last column: nearest neighbours and their distance in Å.
Atoms (fractional coordinates):
Cd 0.0000 0.0000 0.0000  4 Sn 2.99
Cd 0.7500 0.2500 0.5000  4 Sn 2.99
Sn 0.2225 0.6250 0.0975  2 F 2.52
Sn 0.3750 0.4725 0.5975  2 F 2.52
Sn 0.5275 0.1250 0.9025  2 F 2.52
Sn 0.8750 0.7775 0.4025  2 F 2.52
F 0.2500 0.7500 0.5000  4 Sn 2.52
F 0.5000 0.5000 0.0000  4 Sn 2.52

=====

No. 2
A plane-wave DFT calculation with PBE-GGA was carried out for HfOsPd2Br after structural relaxation.

E_form (uncorrected): 130 kJ/mol of atoms

abc: 4.9362 4.9362 4.9176
angles: 90.00 90.00 90.00
Last column: nearest neighbours and their distance in Å.
Atoms (fractional coordinates):
Hf 0.0000 0.0000 0.0000  2 Br 2.46, 4 Pd 2.47
Os 0.5000 0.5000 0.5000  8 Pd 3.48, 4 Br 3.49
Pd 0.0000 0.5000 0.0000  2 Hf 2.47
Pd 0.5000 0.0000 0.0000  2 Hf 2.47
Br 0.0000 0.0000 0.5000  2 Hf 2.46

=====

No. 3
A plane-wave DFT calculation with PBE-GGA was carried out for ZrNb2N after structural relaxation.

E_form (uncorrected): 5 kJ/mol of atoms

abc: 5.9485 5.9485 5.9485
angles: 116.66 116.66 95.88
Last column: nearest neighbours and their distance in Å.
Atoms (fractional coordinates):
Zr 0.0000 0.0000 0.0000  4 Nb 3.03
Zr 0.7500 0.2500 0.5000  4 Nb 3.03
Nb 0.2586 0.6250 0.1336  2 N 1.99
Nb 0.3750 0.5086 0.6336  2 N 1.99
Nb 0.4914 0.1250 0.8664  2 N 1.99
Nb 0.8750 0.7414 0.3664  2 N 1.99
N 0.2500 0.7500 0.5000  4 Nb 1.99
N 0.5000 0.5000 0.0000  4 Nb 1.99

=====

No. 4
A plane-wave DFT calculation with PBE-GGA was carried out for Sm4DyEr after structural relaxation.

ΔE to the lowest computed polymorph: 246 meV/atom
Energy of formation from the pure elements: 262 meV/atom

abc: 6.6177 6.6177 6.6177
angles: 60.00 60.00 60.00
Last column: nearest neighbours and their distance in Å.
Atoms (fractional coordinates):
Sm 0.1249 0.1249 0.1249  6 Sm 3.31
Sm 0.1249 0.1249 0.6254  6 Sm 3.31
Sm 0.1249 0.6254 0.1249  6 Sm 3.31
Sm 0.6254 0.1249 0.1249  6 Sm 3.31
Dy 0.5000 0.5000 0.5000  12 Sm 3.88, 4 Er 4.05
Er 0.7500 0.7500 0.7500  12 Sm 3.88, 4 Dy 4.05

=====

No. 5
A plane-wave DFT calculation with PBE-GGA was carried out for Li3DyIn4 after structural relaxation.

Energy of formation from the pure elements: -327 meV/atom

abc: 8.8065 8.8065 8.8065
angles: 32.36 32.36 32.36
Last column: nearest neighbours and their distance in Å.
Atoms (fractional coordinates):
Li 0.0000 0.0000 0.0000  8 In 2.88-2.99
Li 0.2506 0.2506 0.2506  7 In 2.95-3.05
Li 0.7494 0.7494 0.7494  7 In 2.95-3.05
Dy 0.5000 0.5000 0.5000  8 In 3.11-3.22
In 0.1152 0.1152 0.1152  4 Li 2.88-2.95, 3 Dy 3.11
In 0.3714 0.3714 0.3714  7 Li 2.99-3.05, 1 Dy 3.22
In 0.6286 0.6286 0.6286  7 Li 2.99-3.05, 1 Dy 3.22
In 0.8848 0.8848 0.8848  4 Li 2.88-2.95, 3 Dy 3.11

=====

No. 6
A plane-wave DFT calculation with PBE-GGA was carried out for Na4ErHg5 after structural relaxation.

Energy of formation from the pure elements: -270 meV/atom

abc: 3.7323 3.7323 18.4494
angles: 90.00 90.00 90.00
Last column: nearest neighbours and their distance in Å.
Atoms (fractional coordinates):
Na 0.0000 0.0000 0.0988  8 Hg 3.21
Na 0.0000 0.0000 0.3020  8 Hg 3.26-3.27
Na 0.0000 0.0000 0.6980  8 Hg 3.26-3.27
Na 0.0000 0.0000 0.9012  8 Hg 3.21
Er 0.0000 0.0000 0.5000  8 Hg 3.16
Hg 0.5000 0.5000 0.0000  8 Na 3.21
Hg 0.5000 0.5000 0.1976  8 Na 3.21-3.27
Hg 0.5000 0.5000 0.4057  4 Er 3.16, 4 Na 3.26, 1 Hg 3.48
Hg 0.5000 0.5000 0.5943  4 Er 3.16, 4 Na 3.26, 1 Hg 3.48
Hg 0.5000 0.5000 0.8024  8 Na 3.21-3.27

=====

No. 7
A plane-wave DFT calculation with PBE-GGA was carried out for Hf2VRe2 after structural relaxation.

Energy of formation from the pure elements: -12 meV/atom

abc: 6.4410 6.4410 4.4200
angles: 90.00 90.00 90.00
Last column: nearest neighbours and their distance in Å.
Atoms (fractional coordinates):
Hf 0.1763 0.3237 0.0000  6 Re 2.78-3.01
Hf 0.3237 0.8237 0.0000  6 Re 2.78-3.01
Hf 0.6763 0.1763 0.0000  6 Re 2.78-3.01
Hf 0.8237 0.6763 0.0000  6 Re 2.78-3.01
V 0.0000 0.0000 0.5000  4 Re 2.49
V 0.5000 0.5000 0.5000  4 Re 2.49
Re 0.1389 0.6389 0.5000  2 V 2.49, 1 Re 2.53, 2 Hf 2.78
Re 0.3611 0.1389 0.5000  2 V 2.49, 1 Re 2.53, 2 Hf 2.78
Re 0.6389 0.8611 0.5000  2 V 2.49, 1 Re 2.53, 2 Hf 2.78
Re 0.8611 0.3611 0.5000  2 V 2.49, 1 Re 2.53, 2 Hf 2.78

=====

No. 8
A plane-wave DFT calculation with PBE-GGA was carried out for ScPaRu after structural relaxation.

ΔE to the lowest computed polymorph: 0 meV/atom
Energy of formation from the pure elements: -235 meV/atom

abc: 8.2538 8.2538 8.2538
angles: 30.15 30.15 30.15
Last column: nearest neighbours and their distance in Å.
Atoms (fractional coordinates):
Sc 0.1362 0.1362 0.1362  3 Ru 2.64, 3 Sc 2.87
Sc 0.8638 0.8638 0.8638  3 Ru 2.64, 3 Sc 2.87
Pa 0.2945 0.2945 0.2945  3 Ru 2.84, 3 Pa 3.08
Pa 0.7055 0.7055 0.7055  3 Ru 2.84, 3 Pa 3.08
Ru 0.4305 0.4305 0.4305  3 Sc 2.64, 3 Pa 2.84
Ru 0.5695 0.5695 0.5695  3 Sc 2.64, 3 Pa 2.84

=====

No. 9
A plane-wave DFT calculation with PBE-GGA was carried out for Pr6Nd3Th2 after structural relaxation.

Energy of formation from the pure elements: 26 meV/atom

abc: 33.2608 33.2608 33.2608
angles: 6.33 6.33 6.33
Last column: nearest neighbours and their distance in Å.
Atoms (fractional coordinates):
Pr 0.0923 0.0923 0.0923  3 Th 3.60, 6 Pr 3.67, 3 Nd 3.79
Pr 0.1830 0.1830 0.1830  3 Th 3.57, 9 Pr 3.67-3.88
Pr 0.3639 0.3639 0.3639  6 Pr 3.67, 6 Nd 3.68-3.71
Pr 0.6361 0.6361 0.6361  6 Pr 3.67, 6 Nd 3.68-3.71
Pr 0.8170 0.8170 0.8170  3 Th 3.57, 9 Pr 3.67-3.88
Pr 0.9077 0.9077 0.9077  3 Th 3.60, 6 Pr 3.67, 3 Nd 3.79
Nd 0.0000 0.0000 0.0000  6 Nd 3.67, 6 Pr 3.71
Nd 0.2726 0.2726 0.2726  6 Nd 3.67, 6 Pr 3.68-3.79
Nd 0.7274 0.7274 0.7274  6 Nd 3.67, 6 Pr 3.68-3.79
Th 0.4548 0.4548 0.4548  6 Pr 3.57-3.60, 6 Th 3.67
Th 0.5452 0.5452 0.5452  6 Pr 3.57-3.60, 6 Th 3.67

=====

No. 10
A plane-wave DFT calculation with PBE-GGA was carried out for Sm3Dy2YHo6 after structural relaxation.

Energy of formation from the pure elements: 18 meV/atom

abc: 6.1625 6.1625 11.7700
angles: 94.99 94.99 119.96
Last column: nearest neighbours and their distance in Å.
Atoms (fractional coordinates):
Sm 0.0000 0.0000 0.0000  6 Sm 3.56, 6 Ho 3.57
Sm 0.3333 0.6667 0.0000  6 Sm 3.56, 6 Ho 3.57
Sm 0.6667 0.3333 0.0000  6 Sm 3.56, 6 Ho 3.57
Dy 0.1666 0.8334 0.5000  6 Ho 3.53-3.54, 3 Dy 3.56, 3 Y 3.56
Dy 0.8334 0.1666 0.5000  6 Ho 3.53-3.54, 3 Dy 3.56, 3 Y 3.56
Y 0.5000 0.5000 0.5000  6 Ho 3.53-3.54, 6 Dy 3.56
Ho 0.0827 0.4167 0.2519  2 Dy 3.53-3.54, 1 Y 3.54, 6 Ho 3.55-3.57, 3 Sm 3.57
Ho 0.2493 0.2493 0.7482  1 Y 3.53, 2 Dy 3.54, 6 Ho 3.55-3.57, 3 Sm 3.57
Ho 0.4167 0.0827 0.2519  2 Dy 3.53-3.54, 1 Y 3.54, 6 Ho 3.55-3.57, 3 Sm 3.57
Ho 0.5833 0.9173 0.7481  2 Dy 3.53-3.54, 1 Y 3.54, 6 Ho 3.55-3.57, 3 Sm 3.57
Ho 0.7507 0.7507 0.2518  1 Y 3.53, 2 Dy 3.54, 6 Ho 3.55-3.57, 3 Sm 3.57
Ho 0.9173 0.5833 0.7481  2 Dy 3.53-3.54, 1 Y 3.54, 6 Ho 3.55-3.57, 3 Sm 3.57

=====

No. 11
A plane-wave DFT calculation with PBE-GGA was carried out for BAsPd after structural relaxation.

ΔE to the lowest computed polymorph: 87 meV/atom
Energy of formation from the pure elements: 54 meV/atom

abc: 3.5002 4.2367 6.4931
angles: 106.55 99.06 98.59
Last column: nearest neighbours and their distance in Å.
Atoms (fractional coordinates):
B 0.0000 0.0000 0.0000  1 B 1.68
B 0.0714 0.9149 0.2388  1 B 1.68
As 0.4549 0.9476 0.8004  2 B 2.07-2.20
As 0.5612 0.7125 0.3264  2 B 2.09-2.10
Pd 0.1324 0.4774 0.9347  3 B 2.18-2.36
Pd 0.4541 0.3103 0.5433  1 B 2.26, 1 As 2.52

=====

No. 12
A plane-wave DFT calculation with PBE-GGA was carried out for CaVBMo2 after structural relaxation.

Energy of formation from the pure elements: 823 meV/atom

abc: 4.2370 4.2370 4.7586
angles: 90.00 90.00 90.00
Last column: nearest neighbours and their distance in Å.
Atoms (fractional coordinates):
Ca 0.0000 0.0000 0.0000  2 B 2.38
V 0.5000 0.5000 0.0000  4 Ca 3.00, 8 Mo 3.19
B 0.0000 0.0000 0.5000  4 Mo 2.12
Mo 0.0000 0.5000 0.5000  2 B 2.12
Mo 0.5000 0.0000 0.5000  2 B 2.12

=====

No. 13
A plane-wave DFT calculation with PBE-GGA was carried out for ZnTc2Te after structural relaxation.

E_form (uncorrected): 27 kJ/mol of atoms
ΔE to the lowest computed polymorph: 97 meV/atom

abc: 4.9240 4.9240 4.6588
angles: 107.50 107.50 37.54
Last column: nearest neighbours and their distance in Å.
Atoms (fractional coordinates):
Zn 0.0000 0.0000 0.0000  7 Tc 2.64-2.87
Tc 0.2564 0.2564 0.8731  3 Zn 2.64-2.68, 2 Te 2.69, 2 Tc 2.77
Tc 0.5210 0.5210 0.5248  3 Te 2.70-2.73, 2 Tc 2.77, 4 Zn 2.78-2.87
Te 0.7697 0.7697 0.3465  7 Tc 2.69-2.96, 2 Zn 2.98

=====

No. 14
A plane-wave DFT calculation with PBE-GGA was carried out for Sr3ZnCd after structural relaxation.

ΔE to the lowest computed polymorph: 0 meV/atom
Energy of formation from the pure elements: -210 meV/atom

abc: 11.4735 11.4735 5.6951
angles: 90.00 90.00 151.25
Last column: nearest neighbours and their distance in Å.
Atoms (fractional coordinates):
Sr 0.0739 0.9261 0.7500  2 Zn 3.41, 2 Cd 3.42
Sr 0.2501 0.7499 0.7500  4 Cd 3.49, 4 Zn 3.50-3.51
Sr 0.4263 0.5737 0.7500  2 Zn 3.41, 2 Cd 3.43
Sr 0.5737 0.4263 0.2500  2 Zn 3.41, 2 Cd 3.43
Sr 0.7499 0.2501 0.2500  4 Cd 3.49, 4 Zn 3.50-3.51
Sr 0.9261 0.0739 0.2500  2 Zn 3.41, 2 Cd 3.42
Zn 0.1581 0.8419 0.2500  8 Sr 3.41-3.51
Zn 0.8419 0.1581 0.7500  8 Sr 3.41-3.51
Cd 0.3407 0.6593 0.2500  8 Sr 3.42-3.49
Cd 0.6593 0.3407 0.7500  8 Sr 3.42-3.49

=====

No. 15
A plane-wave DFT calculation with PBE-GGA was carried out for NdSmGa4 after structural relaxation.

ΔE to the lowest computed polymorph: 0 meV/atom
Energy of formation from the pure elements: -689 meV/atom

abc: 4.2662 4.2662 8.5269
angles: 90.00 90.00 120.00
Last column: nearest neighbours and their distance in Å.
Atoms (fractional coordinates):
Nd 0.0000 0.0000 0.0000  12 Ga 3.27
Sm 0.0000 0.0000 0.5000  12 Ga 3.24
Ga 0.3333 0.6667 0.2530  3 Ga 2.46
Ga 0.3333 0.6667 0.7470  3 Ga 2.46
Ga 0.6667 0.3333 0.2530  3 Ga 2.46
Ga 0.6667 0.3333 0.7470  3 Ga 2.46

=====

No. 16
A plane-wave DFT calculation with PBE-GGA was carried out for ZnRh3W after structural relaxation.

ΔE to the lowest computed polymorph: 0 meV/atom
Energy of formation from the pure elements: 1075 meV/atom

abc: 4.7003 4.7003 4.7003
angles: 90.00 90.00 90.00
Last column: nearest neighbours and their distance in Å.
Atoms (fractional coordinates):
Zn 0.0000 0.0000 0.0000  12 Rh 3.32
Rh 0.0000 0.5000 0.5000  2 W 2.35
Rh 0.5000 0.0000 0.5000  2 W 2.35
Rh 0.5000 0.5000 0.0000  2 W 2.35
W 0.5000 0.5000 0.5000  6 Rh 2.35

=====

No. 17
A plane-wave DFT calculation with PBE-GGA was carried out for AcLaTlRh after structural relaxation.

Energy of formation from the pure elements: -355 meV/atom

abc: 5.4639 5.4639 5.4639
angles: 60.00 60.00 60.00
Last column: nearest neighbours and their distance in Å.
Atoms (fractional coordinates):
Ac 0.0000 0.0000 0.0000  4 Tl 3.35, 4 Rh 3.35
La 0.5000 0.5000 0.5000  4 Tl 3.35, 4 Rh 3.35
Tl 0.7500 0.7500 0.7500  4 Ac 3.35, 4 La 3.35
Rh 0.2500 0.2500 0.2500  4 Ac 3.35, 4 La 3.35

=====

No. 18
A plane-wave DFT calculation with PBE-GGA was carried out for CsHW2 after structural relaxation.

Total energy: -17.98 eV for the cell shown

abc: 4.5313 4.5313 4.5313
angles: 60.00 60.00 60.00
Last column: nearest neighbours and their distance in Å.
Atoms (fractional coordinates):
Cs 0.0000 0.0000 0.0000  8 W 2.77
H 0.5000 0.5000 0.5000  8 W 2.77
W 0.2500 0.2500 0.2500  4 H 2.77, 4 Cs 2.77
W 0.7500 0.7500 0.7500  4 H 2.77, 4 Cs 2.77

=====

No. 19
A plane-wave DFT calculation with PBE-GGA was carried out for Tb2PrEr3Tm6 after structural relaxation.

Energy of formation from the pure elements: 24 meV/atom

abc: 6.1013 6.1013 11.6507
angles: 95.00 95.00 119.94
Last column: nearest neighbours and their distance in Å.
Atoms (fractional coordinates):
Tb 0.1667 0.8333 0.0000  3 Pr 3.52, 3 Tb 3.52, 6 Tm 3.54
Tb 0.8333 0.1667 0.0000  3 Pr 3.52, 3 Tb 3.52, 6 Tm 3.54
Pr 0.5000 0.5000 0.0000  6 Tb 3.52, 6 Tm 3.54-3.55
Er 0.0000 0.0000 0.5000  6 Tm 3.49, 6 Er 3.52-3.53
Er 0.3331 0.6669 0.5000  6 Tm 3.49, 6 Er 3.52-3.53
Er 0.6669 0.3331 0.5000  6 Tm 3.49, 6 Er 3.52-3.53
Tm 0.0811 0.4150 0.7472  3 Er 3.49, 6 Tm 3.52-3.53, 2 Tb 3.54, 1 Pr 3.55
Tm 0.2509 0.2509 0.2527  3 Er 3.49, 6 Tm 3.52-3.53, 1 Pr 3.54, 2 Tb 3.54
Tm 0.4150 0.0811 0.7472  3 Er 3.49, 6 Tm 3.52-3.53, 2 Tb 3.54, 1 Pr 3.55
Tm 0.5850 0.9189 0.2528  3 Er 3.49, 6 Tm 3.52-3.53, 2 Tb 3.54, 1 Pr 3.55
Tm 0.7491 0.7491 0.7473  3 Er 3.49, 6 Tm 3.52-3.53, 1 Pr 3.54, 2 Tb 3.54
Tm 0.9189 0.5850 0.2528  3 Er 3.49, 6 Tm 3.52-3.53, 2 Tb 3.54, 1 Pr 3.55

=====

No. 20
A plane-wave DFT calculation with PBE-GGA was carried out for ScBeCuRu2 after structural relaxation.

Energy of formation from the pure elements: 376 meV/atom

abc: 4.1001 4.1001 4.4758
angles: 90.00 90.00 90.00
Last column: nearest neighbours and their distance in Å.
Atoms (fractional coordinates):
Sc 0.0000 0.0000 0.0000  2 Be 2.24
Be 0.0000 0.0000 0.5000  4 Ru 2.05, 2 Sc 2.24
Cu 0.5000 0.5000 0.0000  4 Sc 2.90, 8 Ru 3.03
Ru 0.0000 0.5000 0.5000  2 Be 2.05
Ru 0.5000 0.0000 0.5000  2 Be 2.05

=====

no.,size of the total moment (μB/f.u.)
1,0.00
2,2.66
3,0.00
4,0.00
5,0.00
6,0.00
7,0.00
8,0.00
9,0.00
10,0.00
11,0.00
12,0.00
13,0.00
14,0.00
15,0.00
16,0.00
17,0.00
18,0.00
19,0.00
20,0.00